(1)
An optimized crystal structure of HoPuGaTc. Source: Alexandria via LeMat-Bulk, functional GGA-PBE.

Unit cell a=6.949 b=6.949 c=6.949 alpha=90.00 beta=90.00 gamma=90.00
Element x y z (fractional)
Ho 0.000 0.000 0.000
Ho 0.000 0.500 0.500
Ho 0.500 0.000 0.500
Ho 0.500 0.500 0.000
Pu 0.000 0.000 0.500
Pu 0.000 0.500 0.000
Pu 0.500 0.000 0.000
Pu 0.500 0.500 0.500
Ga 0.250 0.250 0.250
Ga 0.250 0.750 0.750
Ga 0.750 0.250 0.750
Ga 0.750 0.750 0.250
Tc 0.250 0.250 0.750
Tc 0.250 0.750 0.250
Tc 0.750 0.250 0.250
Tc 0.750 0.750 0.750

Results
- D(E_F) (states/eV/cell) = 36.1
- SG = F-43m (216)
- calculated formation energy (eV/atom) = -0.107

---

(2)
An optimized crystal structure of HoPuZnGa. Source: Alexandria via LeMat-Bulk, functional GGA-PBE.

Unit cell a=7.139 b=7.139 c=7.139 alpha=90.00 beta=90.00 gamma=90.00
Element x y z (fractional)
Ho 0.000 0.000 0.000
Ho 0.000 0.500 0.500
Ho 0.500 0.000 0.500
Ho 0.500 0.500 0.000
Pu 0.000 0.000 0.500
Pu 0.000 0.500 0.000
Pu 0.500 0.000 0.000
Pu 0.500 0.500 0.500
Zn 0.250 0.250 0.750
Zn 0.250 0.750 0.250
Zn 0.750 0.250 0.250
Zn 0.750 0.750 0.750
Ga 0.250 0.250 0.250
Ga 0.250 0.750 0.750
Ga 0.750 0.250 0.750
Ga 0.750 0.750 0.250

Results
- D(E_F) (states/eV/cell) = 26.9
- SG = F-43m (216)
- calculated formation energy (eV/atom) = -0.308